[1]
Nd4MgZn2Hg | PBE | optimized geometry

Properties
- E_form: -0.29 eV/atom

abc: 9.2882 9.2882 9.2882
angles: 33.32 33.32 33.32
Element x y z (fractional)
Nd 0.1236 0.1236 0.1236
Nd 0.3744 0.3744 0.3744
Nd 0.6256 0.6256 0.6256
Nd 0.8764 0.8764 0.8764
Mg 0.5000 0.5000 0.5000
Zn 0.2434 0.2434 0.2434
Zn 0.7566 0.7566 0.7566
Hg 0.0000 0.0000 0.0000

[2]
Pt3Br | PBE | optimized geometry

Properties
- Raw formation energy: 0.633 eV per atom

abc: 4.5887 4.5887 4.5887
angles: 60.00 60.00 60.00
Element x y z (fractional)
Pt 0.0000 0.0000 0.0000
Pt 0.2500 0.2500 0.2500
Pt 0.7500 0.7500 0.7500
Br 0.5000 0.5000 0.5000

[3]
TbPm3Bi4 | PBE | optimized geometry

Properties
- E_form: -0.93 eV/atom

abc: 6.4418 6.4418 6.4418
angles: 90.00 90.00 90.00
Element x y z (fractional)
Tb 0.0000 0.0000 0.0000
Pm 0.0000 0.5000 0.5000
Pm 0.5000 0.0000 0.5000
Pm 0.5000 0.5000 0.0000
Bi 0.0000 0.0000 0.5000
Bi 0.0000 0.5000 0.0000
Bi 0.5000 0.0000 0.0000
Bi 0.5000 0.5000 0.5000

Question: Number 1 is which compound?
Answer: Nd4MgZn2Hg